[1]
Computed, not measured: crystalline Ba2NaEr at its relaxed geometry at the PBE level of DFT.

Cell lengths 4.4416, 4.4416, 9.5277 Å; angles 90.00, 90.00, 90.00 degrees
Sites, in units of the cell vectors:
Ba  0.0000  0.0000  0.2398
Ba  0.0000  0.0000  0.7602
Na  0.5000  0.5000  0.5000
Er  0.5000  0.5000  0.0000

As for the energy relative to the lowest polymorph listed for this composition: 0 meV per atom. As for the size of the total moment: 0.00 Bohr magnetons per cell. For the energy relative to the elements, the calculation gives 0.1932 eV/atom.



[2]
Computed, not measured: crystalline RbMn2Pt at its relaxed geometry at the PBE level of DFT.

Cell lengths 6.8697, 6.8697, 6.8697 Å; angles 90.00, 90.00, 90.00 degrees
Sites, in units of the cell vectors:
Rb  0.0000  0.0000  0.0000
Rb  0.0000  0.5000  0.5000
Rb  0.5000  0.0000  0.5000
Rb  0.5000  0.5000  0.0000
Mn  0.2500  0.2500  0.2500
Mn  0.2500  0.2500  0.7500
Mn  0.2500  0.7500  0.2500
Mn  0.2500  0.7500  0.7500
Mn  0.7500  0.2500  0.2500
Mn  0.7500  0.2500  0.7500
Mn  0.7500  0.7500  0.2500
Mn  0.7500  0.7500  0.7500
Pt  0.0000  0.0000  0.5000
Pt  0.0000  0.5000  0.0000
Pt  0.5000  0.0000  0.0000
Pt  0.5000  0.5000  0.5000

As for the energy relative to the lowest polymorph listed for this composition: 212 meV per atom. As for the size of the total moment: 34.11 Bohr magnetons per cell. For the energy relative to the elements, the calculation gives 0.8107 eV/atom.



[3]
Computed, not measured: crystalline KLi2Os at its relaxed geometry at the PBE level of DFT.

Cell lengths 7.2305, 7.2731, 2.6381 Å; angles 90.00, 90.00, 90.00 degrees
Sites, in units of the cell vectors:
K  0.0000  0.0000  0.0000
K  0.5000  0.5000  0.0000
Li  0.2500  0.2500  0.5000
Li  0.2500  0.7500  0.5000
Li  0.7500  0.2500  0.5000
Li  0.7500  0.7500  0.5000
Os  0.0000  0.5000  0.0000
Os  0.5000  0.0000  0.0000

As for the energy relative to the lowest polymorph listed for this composition: 111 meV per atom. As for the size of the total moment: 0.41 Bohr magnetons per cell. For the energy relative to the elements, the calculation gives 0.6793 eV/atom.



[4]
Computed, not measured: crystalline MoWC at its relaxed geometry at the PBE level of DFT.

Cell lengths 6.1034, 5.6091, 7.0900 Å; angles 56.00, 49.63, 74.37 degrees
Sites, in units of the cell vectors:
Mo  0.2998  0.7002  0.5413
Mo  0.7002  0.2998  0.4587
Mo  0.7087  0.7913  0.9502
Mo  0.7913  0.7087  0.5498
W  0.1973  0.8025  0.9559
W  0.2057  0.2941  0.4475
W  0.2941  0.2057  0.0527
W  0.8025  0.1973  0.0443
C  0.0014  0.4987  0.9995
C  0.2505  0.7496  0.2486
C  0.4987  0.0014  0.5004
C  0.7496  0.2505  0.7513

As for the energy relative to the lowest polymorph listed for this composition: 1 meV per atom. As for the size of the total moment: 0.00 Bohr magnetons per cell. For the energy relative to the elements, the calculation gives -0.0824 eV/atom.



[5]
Computed, not measured: crystalline Sr2CaTi3O9 at its relaxed geometry at the PBE level of DFT.

Cell lengths 5.5988, 9.5961, 13.6142 Å; angles 89.48, 89.30, 89.50 degrees
Sites, in units of the cell vectors:
Sr  0.0000  0.0000  0.0000
Sr  0.9998  0.3333  0.3322
Sr  0.0009  0.6664  0.6664
Sr  0.4796  0.4982  0.9977
Sr  0.4818  0.8301  0.3300
Sr  0.4955  0.1626  0.1623
Sr  0.4963  0.4952  0.4962
Sr  0.4961  0.8298  0.8282
Ca  0.0082  0.3402  0.8400
Ca  0.0120  0.6729  0.1721
Ca  0.0164  0.0066  0.5066
Ca  0.5034  0.1606  0.6600
Ti  0.4945  0.1657  0.9120
Ti  0.4944  0.4950  0.7476
Ti  0.4965  0.4981  0.2477
Ti  0.4965  0.8314  0.0805
Ti  0.4995  0.8317  0.5813
Ti  0.4998  0.1645  0.4153
Ti  0.9913  0.3358  0.0827
Ti  0.9910  0.6666  0.9176
Ti  0.9915  0.0042  0.7490
Ti  0.9921  0.3308  0.5856
Ti  0.9919  0.6693  0.4168
Ti  0.9918  0.9989  0.2520
O  0.1782  0.4029  0.6834
O  0.1785  0.1104  0.8294
O  0.1860  0.4410  0.1623
O  0.1863  0.7367  0.0145
O  0.1891  0.0679  0.3488
O  0.1892  0.7761  0.4948
O  0.2380  0.5984  0.8335
O  0.2386  0.2464  0.0092
O  0.2388  0.5799  0.3418
O  0.2390  0.9287  0.1669
O  0.2421  0.9187  0.6747
O  0.2432  0.2601  0.5046
O  0.4526  0.3184  0.3192
O  0.4542  0.6512  0.6513
O  0.4560  0.9855  0.9837
O  0.4624  0.3435  0.8427
O  0.4709  0.6734  0.1735
O  0.4791  0.0110  0.5110
O  0.6787  0.0828  0.8109
O  0.6786  0.3885  0.6581
O  0.6906  0.4107  0.1511
O  0.6908  0.7306  0.9910
O  0.6930  0.0632  0.3256
O  0.6931  0.7464  0.4838
O  0.7393  0.5581  0.3275
O  0.7388  0.9170  0.1479
O  0.7404  0.2248  0.9912
O  0.7403  0.5809  0.8131
O  0.7422  0.8885  0.6612
O  0.7433  0.2526  0.4793
O  0.9435  0.1463  0.6460
O  0.9590  0.4823  0.9817
O  0.9592  0.8138  0.3139
O  0.9712  0.8440  0.8415
O  0.9743  0.1743  0.1750
O  0.9749  0.5085  0.5096

The value obtained for the uncorrected formation energy is -4524 kJ/mol of formula units. As for the energy relative to the lowest polymorph listed for this composition: 2 meV per atom. As for the size of the total moment: 0.00 Bohr magnetons per cell.



[6]
Computed, not measured: crystalline Np2U3S8 at its relaxed geometry at the PBE level of DFT.

Cell lengths 8.0000, 8.0000, 6.5842 Å; angles 106.99, 106.99, 58.90 degrees
Sites, in units of the cell vectors:
Np  0.2379  0.2379  0.1556
Np  0.7621  0.7621  0.8444
U  0.2422  0.7578  0.5000
U  0.5000  0.5000  0.0000
U  0.7578  0.2422  0.5000
S  0.1167  0.1167  0.4169
S  0.1434  0.6096  0.0843
S  0.3825  0.3825  0.5728
S  0.3904  0.8566  0.9157
S  0.6096  0.1434  0.0843
S  0.6175  0.6175  0.4272
S  0.8566  0.3904  0.9157
S  0.8833  0.8833  0.5831

The value obtained for the uncorrected formation energy is -1657 kJ/mol of formula units. As for the energy relative to the lowest polymorph listed for this composition: 0 meV per atom. As for the size of the total moment: 16.00 Bohr magnetons per cell.



Question: What is the size of the total moment in the fifth record?
Answer: 0.00 Bohr magnetons per cell



Question: energy relative to the lowest polymorph listed for this composition of number 2 (RbMn2Pt)?
Answer: 212 meV per atom



Question: Among the records above, which one has the highest energy relative to the lowest polymorph listed for this composition?
Answer: RbMn2Pt